RbHfAg2: optimized geometry, PBE.

Calculated values
total moment: 0.0 μB per formula unit
energy of formation: 0.812 eV per atom

a = 8.1482 Å, b = 8.1482 Å, c = 7.3765 Å
α = 90.00°, β = 90.00°, γ = 90.00°
With the nearest neighbours (Å) after each atom.
Space group I-42d (No. 122)
Unique sites:
Rb 0.0000 0.0000 0.0000 x4  4 Ag 3.35, 2 Hf 3.69
Hf 0.0000 0.0000 0.5000 x4  4 Ag 2.74
Ag 0.1944 0.2500 0.6250 x8  2 Hf 2.74